LaMnTc meta-GGA SCAN PBEsol geometry; energy of formation from the pure elements = 0.81 eV per atom; offset from the most stable computed form = 0 meV/atom; size of the total moment = 0.00 μB per formula unit; final energy = -31.325 eV per atom
1.0
0.000 3.055 3.055
3.055 0.000 3.055
3.055 3.055 0.000
La Mn Tc
1 1 1
direct
0.000 0.000 0.000 La
0.750 0.750 0.750 Mn
0.500 0.500 0.500 Tc

***

TlIr2N meta-GGA SCAN PBEsol geometry; size of the total moment = 0.00 μB per formula unit; formation energy from raw total energies = 576 meV per atom; final energy = -55.386 eV per atom
1.0
-3.214 3.214 3.001
3.214 -3.214 3.001
3.214 3.214 -3.001
Tl Ir N
2 4 2
direct
0.000 0.000 0.000 Tl
0.750 0.250 0.500 Tl
0.253 0.625 0.128 Ir
0.375 0.503 0.628 Ir
0.497 0.125 0.872 Ir
0.875 0.747 0.372 Ir
0.250 0.750 0.500 N
0.500 0.500 0.000 N

***

CeMgSi2 meta-GGA SCAN PBEsol geometry; size of the total moment = 0.85 μB per formula unit; formation energy from raw total energies = -529 meV per atom; final energy = -17.921 eV per atom
1.0
-2.063 2.063 18.471
2.063 -2.063 18.471
2.063 2.063 -18.471
Ce Mg Si
4 4 8
direct
0.297 0.547 0.750 Ce
0.453 0.703 0.750 Ce
0.547 0.297 0.250 Ce
0.703 0.453 0.250 Ce
0.125 0.375 0.750 Mg
0.375 0.125 0.250 Mg
0.625 0.875 0.750 Mg
0.875 0.625 0.250 Mg
0.014 0.764 0.250 Si
0.077 0.827 0.250 Si
0.173 0.923 0.250 Si
0.236 0.986 0.250 Si
0.764 0.014 0.750 Si
0.827 0.077 0.750 Si
0.923 0.173 0.750 Si
0.986 0.236 0.750 Si

***

Li4VTe3O12 meta-GGA SCAN PBEsol geometry; size of the total moment = 1.00 μB per formula unit; formation energy from raw total energies = -1724 meV per atom; final energy = -12.403 eV per atom
1.0
4.964 0.000 0.000
0.357 5.151 0.000
0.036 -0.001 8.666
Li V Te O
4 1 3 12
direct
0.000 0.000 0.000 Li
0.003 0.489 0.697 Li
0.487 0.502 0.518 Li
0.508 0.043 0.120 Li
0.485 0.526 0.924 V
0.482 0.020 0.743 Te
0.980 0.489 0.218 Te
0.992 0.990 0.423 Te
0.183 0.155 0.229 O
0.207 0.627 0.373 O
0.220 0.634 0.063 O
0.259 0.210 0.598 O
0.283 0.706 0.759 O
0.291 0.190 0.916 O
0.689 0.816 0.910 O
0.692 0.324 0.765 O
0.702 0.838 0.586 O
0.739 0.353 0.070 O
0.766 0.335 0.383 O
0.778 0.825 0.244 O

***

Li2HfReF meta-GGA SCAN PBEsol geometry; size of the total moment = 0.00 μB per formula unit; formation energy from raw total energies = -444 meV per atom; final energy = -28.862 eV per atom
1.0
3.737 0.000 0.000
0.000 3.737 0.000
0.000 0.000 5.287
Li Hf Re F
2 1 1 1
direct
0.000 0.500 0.000 Li
0.500 0.000 0.000 Li
0.000 0.000 0.500 Hf
0.500 0.500 0.500 Re
0.500 0.500 0.000 F

***

LaGeIr meta-GGA SCAN PBEsol geometry; energy of formation from the pure elements = -1.03 eV per atom; size of the total moment = 0.00 μB per formula unit; final energy = -45.464 eV per atom
1.0
-2.162 2.162 7.090
2.162 -2.162 7.090
2.162 2.162 -7.090
La Ge Ir
2 2 2
direct
0.000 0.000 0.000 La
0.750 0.250 0.500 La
0.330 0.830 0.500 Ge
0.580 0.580 0.000 Ge
0.158 0.658 0.500 Ir
0.408 0.408 0.000 Ir

***

What did the fourth record say?
Li4VTe3O12 meta-GGA SCAN PBEsol geometry; size of the total moment = 1.00 μB per formula unit; formation energy from raw total energies = -1724 meV per atom; final energy = -12.403 eV per atom
1.0
4.964 0.000 0.000
0.357 5.151 0.000
0.036 -0.001 8.666
Li V Te O
4 1 3 12
direct
0.000 0.000 0.000 Li
0.003 0.489 0.697 Li
0.487 0.502 0.518 Li
0.508 0.043 0.120 Li
0.485 0.526 0.924 V
0.482 0.020 0.743 Te
0.980 0.489 0.218 Te
0.992 0.990 0.423 Te
0.183 0.155 0.229 O
0.207 0.627 0.373 O
0.220 0.634 0.063 O
0.259 0.210 0.598 O
0.283 0.706 0.759 O
0.291 0.190 0.916 O
0.689 0.816 0.910 O
0.692 0.324 0.765 O
0.702 0.838 0.586 O
0.739 0.353 0.070 O
0.766 0.335 0.383 O
0.778 0.825 0.244 O

***

What is the formula in the first record? LaMnTc

***

Copy entry 4 word for word.
Li4VTe3O12 meta-GGA SCAN PBEsol geometry; size of the total moment = 1.00 μB per formula unit; formation energy from raw total energies = -1724 meV per atom; final energy = -12.403 eV per atom
1.0
4.964 0.000 0.000
0.357 5.151 0.000
0.036 -0.001 8.666
Li V Te O
4 1 3 12
direct
0.000 0.000 0.000 Li
0.003 0.489 0.697 Li
0.487 0.502 0.518 Li
0.508 0.043 0.120 Li
0.485 0.526 0.924 V
0.482 0.020 0.743 Te
0.980 0.489 0.218 Te
0.992 0.990 0.423 Te
0.183 0.155 0.229 O
0.207 0.627 0.373 O
0.220 0.634 0.063 O
0.259 0.210 0.598 O
0.283 0.706 0.759 O
0.291 0.190 0.916 O
0.689 0.816 0.910 O
0.692 0.324 0.765 O
0.702 0.838 0.586 O
0.739 0.353 0.070 O
0.766 0.335 0.383 O
0.778 0.825 0.244 O

***

Which of these has the lowest final energy? TlIr2N